1.
{
  "formula": "TbTm4Pt2",
  "functional": "GGA-PBE",
  "state": "relaxed",
  "formation_enthalpy_0k_ev_per_atom": -0.7326,
  "cell": [[6.307, 0.000, 0.000], [0.000, 7.132, -2.982], [0.000, 0.021, 7.967]],
  "species": ["Tb", "Tb", "Tm", "Tm", "Tm", "Tm", "Tm", "Tm", "Tm", "Tm", "Pt", "Pt", "Pt", "Pt"],
  "fractional_positions": [[0.250, 0.848, 0.977], [0.750, 0.152, 0.023], [0.750, 0.017, 0.388], [0.496, 0.590, 0.233], [0.250, 0.983, 0.612], [0.996, 0.410, 0.767], [0.004, 0.590, 0.233], [0.250, 0.251, 0.346], [0.504, 0.410, 0.767], [0.750, 0.749, 0.654], [0.750, 0.748, 0.009], [0.250, 0.252, 0.991], [0.250, 0.622, 0.585], [0.750, 0.378, 0.415]]
}

---

2.
{
  "formula": "Tb2TmPt",
  "functional": "GGA-PBE",
  "state": "relaxed",
  "formation_enthalpy_0k_ev_per_atom": -0.2726,
  "de_polymorph_ev_per_fu": 1.778,
  "cell": [[3.694, 0.000, 0.000], [1.847, 3.199, 0.000], [1.847, 1.066, 10.494]],
  "species": ["Pt", "Tb", "Tb", "Tm"],
  "fractional_positions": [[0.500, 0.500, 0.500], [0.891, 0.891, 0.326], [0.109, 0.109, 0.674], [0.000, 0.000, 0.000]]
}

---

3.
{
  "formula": "TbTmZnPt",
  "functional": "GGA-PBE",
  "state": "relaxed",
  "formation_enthalpy_0k_ev_per_atom": -0.8213,
  "de_polymorph_ev_per_fu": 0.000,
  "cell": [[-1.836, 0.009, -3.021], [0.395, -3.504, -0.250], [-5.863, -0.915, 3.562]],
  "species": ["Zn", "Tb", "Pt", "Tm"],
  "fractional_positions": [[0.500, 0.500, 0.598], [0.000, 0.000, 0.863], [0.500, 0.500, 0.117], [0.000, 0.000, 0.349]]
}

---

4.
{
  "formula": "TbTmZnPt",
  "functional": "GGA-PBE",
  "state": "relaxed",
  "formation_enthalpy_0k_ev_per_atom": -0.8044,
  "de_polymorph_ev_per_fu": 0.068,
  "cell": [[-3.083, 3.590, -1.488], [-4.828, -0.257, 1.113], [-1.950, 3.129, 3.319]],
  "species": ["Tm", "Pt", "Tb", "Zn"],
  "fractional_positions": [[0.500, 0.500, 0.500], [0.750, 0.750, 0.750], [0.000, 0.000, 0.000], [0.250, 0.250, 0.250]]
}

---

5.
{
  "formula": "TbU3Pt12",
  "functional": "GGA-PBE",
  "state": "relaxed",
  "formation_enthalpy_0k_ev_per_atom": -0.8168,
  "cell": [[-0.026, 3.950, 1.282], [-4.068, -0.283, 0.789], [3.346, -4.994, 15.463]],
  "species": ["Pt", "Pt", "Pt", "Pt", "Pt", "Pt", "Pt", "Pt", "Pt", "Pt", "Pt", "Pt", "U", "U", "U", "Tb"],
  "fractional_positions": [[0.500, 0.000, 0.374], [0.500, 0.500, 0.750], [0.500, 0.000, 0.874], [0.500, 0.500, 0.500], [0.500, 0.000, 0.626], [0.000, 0.500, 0.126], [0.500, 0.000, 0.126], [0.500, 0.500, 0.000], [0.500, 0.500, 0.250], [0.000, 0.500, 0.874], [0.000, 0.500, 0.626], [0.000, 0.500, 0.374], [0.000, 0.000, 0.248], [0.000, 0.000, 0.500], [0.000, 0.000, 0.752], [0.000, 0.000, 0.000]]
}

---

6.
{
  "formula": "Tb2UPt9",
  "functional": "GGA-PBE",
  "state": "relaxed",
  "formation_enthalpy_0k_ev_per_atom": -0.9567,
  "cell": [[-1.471, -2.103, 3.254], [3.456, 0.860, 2.118], [-5.225, 10.346, 4.324]],
  "species": ["U", "Pt", "Pt", "Pt", "Pt", "Pt", "Pt", "Pt", "Pt", "Pt", "Tb", "Tb"],
  "fractional_positions": [[0.000, 0.000, 0.000], [0.500, 0.000, 0.162], [0.500, 0.500, 0.332], [0.500, 0.000, 0.500], [0.500, 0.500, 0.668], [0.500, 0.500, 0.000], [0.000, 0.500, 0.500], [0.500, 0.000, 0.838], [0.000, 0.500, 0.838], [0.000, 0.500, 0.162], [0.000, 0.000, 0.337], [0.000, 0.000, 0.663]]
}

---

7.
{
  "formula": "Tb2U2Pt15",
  "functional": "GGA-PBE",
  "state": "relaxed",
  "formation_enthalpy_0k_ev_per_atom": -0.6361,
  "cell": [[7.088, 0.051, 0.045], [0.970, 7.021, 0.045], [0.970, 0.851, 6.970]],
  "species": ["Tb", "Tb", "Pt", "Pt", "Pt", "Pt", "Pt", "Pt", "Pt", "Pt", "Pt", "Pt", "Pt", "Pt", "Pt", "Pt", "Pt", "U", "U"],
  "fractional_positions": [[0.359, 0.359, 0.359], [0.641, 0.641, 0.641], [0.837, 0.341, 0.341], [0.000, 0.322, 0.678], [0.500, 0.000, 0.000], [0.678, 0.322, 0.000], [0.322, 0.000, 0.678], [0.678, 0.000, 0.322], [0.322, 0.678, 0.000], [0.000, 0.678, 0.322], [0.000, 0.500, 0.000], [0.341, 0.837, 0.341], [0.341, 0.341, 0.837], [0.659, 0.659, 0.163], [0.000, 0.000, 0.500], [0.163, 0.659, 0.659], [0.659, 0.163, 0.659], [0.914, 0.914, 0.914], [0.086, 0.086, 0.086]]
}

---

8.
{
  "formula": "TbUPt6",
  "functional": "GGA-PBE",
  "state": "relaxed",
  "formation_enthalpy_0k_ev_per_atom": -0.9128,
  "cell": [[-1.729, -2.501, 2.814], [2.917, 1.066, 2.741], [-4.750, 6.242, 2.628]],
  "species": ["Tb", "Pt", "Pt", "Pt", "Pt", "Pt", "Pt", "U"],
  "fractional_positions": [[0.000, 0.000, 0.000], [0.500, 0.500, 0.500], [0.000, 0.500, 0.745], [0.000, 0.500, 0.255], [0.500, 0.500, 0.000], [0.500, 0.000, 0.255], [0.500, 0.000, 0.745], [0.000, 0.000, 0.500]]
}

---

9.
{
  "formula": "Tb2VPt9",
  "functional": "GGA-PBE",
  "state": "relaxed",
  "formation_enthalpy_0k_ev_per_atom": -0.8280,
  "cell": [[4.058, 0.000, 0.000], [0.000, 4.058, 0.000], [0.000, 0.000, 12.195]],
  "species": ["Pt", "Pt", "Pt", "Pt", "Pt", "Pt", "Pt", "Pt", "Pt", "Tb", "Tb", "V"],
  "fractional_positions": [[0.000, 0.500, 0.849], [0.500, 0.000, 0.151], [0.000, 0.500, 0.500], [0.500, 0.500, 0.326], [0.500, 0.500, 0.000], [0.500, 0.000, 0.849], [0.500, 0.000, 0.500], [0.500, 0.500, 0.674], [0.000, 0.500, 0.151], [0.000, 0.000, 0.330], [0.000, 0.000, 0.670], [0.000, 0.000, 0.000]]
}

---

10.
{
  "formula": "TbVPt6",
  "functional": "GGA-PBE",
  "state": "relaxed",
  "formation_enthalpy_0k_ev_per_atom": -0.5302,
  "de_polymorph_ev_per_fu": 1.569,
  "cell": [[-3.495, 0.280, 1.592], [-1.566, -1.522, -3.172], [1.026, -9.079, 3.850]],
  "species": ["Pt", "Pt", "Pt", "Pt", "Pt", "Pt", "Tb", "V"],
  "fractional_positions": [[0.500, 0.000, 0.332], [0.500, 0.000, 0.668], [0.500, 0.500, 0.129], [0.000, 0.500, 0.332], [0.500, 0.500, 0.871], [0.000, 0.500, 0.668], [0.000, 0.000, 0.000], [0.000, 0.000, 0.500]]
}

---

11.
{
  "formula": "TbVPt6",
  "functional": "GGA-PBE",
  "state": "relaxed",
  "formation_enthalpy_0k_ev_per_atom": -0.7263,
  "de_polymorph_ev_per_fu": 0.000,
  "cell": [[4.021, 0.000, 0.000], [0.000, 4.021, 0.000], [0.000, 0.000, 8.081]],
  "species": ["Pt", "Pt", "Pt", "Pt", "Pt", "Pt", "V", "Tb"],
  "fractional_positions": [[0.000, 0.500, 0.732], [0.500, 0.500, 0.500], [0.000, 0.500, 0.268], [0.500, 0.000, 0.732], [0.500, 0.000, 0.268], [0.500, 0.500, 0.000], [0.000, 0.000, 0.500], [0.000, 0.000, 0.000]]
}

---

12.
{
  "formula": "Tb3YPt2",
  "functional": "GGA-PBE",
  "state": "relaxed",
  "formation_enthalpy_0k_ev_per_atom": -0.9362,
  "cell": [[4.787, 0.000, 0.000], [0.000, 7.197, 0.000], [0.000, 0.000, 8.843]],
  "species": ["Tb", "Tb", "Tb", "Tb", "Tb", "Tb", "Pt", "Pt", "Pt", "Pt", "Y", "Y"],
  "fractional_positions": [[0.500, 0.644, 0.168], [0.500, 0.144, 0.832], [0.000, 0.856, 0.668], [0.000, 0.356, 0.332], [0.000, 0.991, 0.084], [0.000, 0.491, 0.916], [0.500, 0.742, 0.843], [0.000, 0.758, 0.343], [0.500, 0.242, 0.157], [0.000, 0.258, 0.657], [0.500, 0.009, 0.418], [0.500, 0.509, 0.582]]
}

---

13.
{
  "formula": "Tb2Y2Pt15",
  "functional": "GGA-PBE",
  "state": "relaxed",
  "formation_enthalpy_0k_ev_per_atom": -0.7049,
  "cell": [[7.101, 0.026, 0.023], [0.947, 7.037, 0.023], [0.947, 0.831, 6.988]],
  "species": ["Pt", "Pt", "Pt", "Pt", "Pt", "Pt", "Pt", "Pt", "Pt", "Pt", "Pt", "Pt", "Pt", "Pt", "Pt", "Tb", "Tb", "Y", "Y"],
  "fractional_positions": [[0.163, 0.653, 0.653], [0.347, 0.347, 0.837], [0.684, 0.000, 0.316], [0.000, 0.316, 0.684], [0.316, 0.684, 0.000], [0.000, 0.684, 0.316], [0.684, 0.316, 0.000], [0.837, 0.347, 0.347], [0.000, 0.500, 0.000], [0.653, 0.653, 0.163], [0.000, 0.000, 0.500], [0.347, 0.837, 0.347], [0.500, 0.000, 0.000], [0.316, 0.000, 0.684], [0.653, 0.163, 0.653], [0.107, 0.107, 0.107], [0.893, 0.893, 0.893], [0.363, 0.363, 0.363], [0.637, 0.637, 0.637]]
}

---

14.
{
  "formula": "TbY2Pt9",
  "functional": "GGA-PBE",
  "state": "relaxed",
  "formation_enthalpy_0k_ev_per_atom": -0.9382,
  "de_polymorph_ev_per_fu": 0.804,
  "cell": [[-5.224, -0.709, -1.232], [-1.387, -3.028, -4.268], [-2.450, -8.426, 3.341]],
  "species": ["Y", "Y", "Pt", "Pt", "Pt", "Pt", "Pt", "Pt", "Pt", "Pt", "Pt", "Tb"],
  "fractional_positions": [[0.139, 0.139, 0.583], [0.861, 0.861, 0.417], [0.413, 0.413, 0.256], [0.587, 0.587, 0.744], [0.413, 0.919, 0.256], [0.500, 0.500, 0.500], [0.587, 0.081, 0.744], [0.081, 0.587, 0.744], [0.333, 0.333, 0.000], [0.667, 0.667, 0.000], [0.919, 0.413, 0.256], [0.000, 0.000, 0.000]]
}

---

15.
{
  "formula": "TbYPt4",
  "functional": "GGA-PBE",
  "state": "relaxed",
  "formation_enthalpy_0k_ev_per_atom": -1.1159,
  "cell": [[-2.716, -3.951, -2.579], [2.694, -4.261, -2.056], [-0.503, -4.907, 2.303]],
  "species": ["Y", "Pt", "Pt", "Pt", "Pt", "Tb"],
  "fractional_positions": [[0.250, 0.250, 0.250], [0.625, 0.625, 0.125], [0.125, 0.625, 0.625], [0.625, 0.625, 0.625], [0.625, 0.125, 0.625], [0.000, 0.000, 0.000]]
}

---

16.
{
  "formula": "TbY5Pt6",
  "functional": "GGA-PBE",
  "state": "relaxed",
  "formation_enthalpy_0k_ev_per_atom": -1.2019,
  "cell": [[-2.019, 0.616, 4.513], [5.852, -2.294, 2.931], [4.549, 6.141, 3.929]],
  "species": ["Y", "Y", "Y", "Y", "Y", "Pt", "Pt", "Pt", "Pt", "Pt", "Pt", "Tb"],
  "fractional_positions": [[0.000, 0.500, 0.000], [0.667, 0.167, 0.666], [0.333, 0.833, 0.334], [0.666, 0.667, 0.667], [0.334, 0.333, 0.333], [0.500, 0.751, 0.000], [0.834, 0.083, 0.333], [0.166, 0.917, 0.667], [0.500, 0.249, 0.000], [0.166, 0.416, 0.667], [0.834, 0.584, 0.333], [0.000, 0.000, 0.000]]
}

---

17.
{
  "formula": "Tb3YPt12",
  "functional": "GGA-PBE",
  "state": "relaxed",
  "formation_enthalpy_0k_ev_per_atom": -1.0115,
  "cell": [[-1.627, 1.386, 3.540], [-3.257, -2.495, -0.520], [7.811, -11.915, 8.256]],
  "species": ["Pt", "Pt", "Pt", "Pt", "Pt", "Pt", "Pt", "Pt", "Pt", "Pt", "Pt", "Pt", "Tb", "Tb", "Tb", "Y"],
  "fractional_positions": [[0.000, 0.500, 0.625], [0.500, 0.500, 0.000], [0.500, 0.500, 0.250], [0.500, 0.000, 0.625], [0.500, 0.000, 0.875], [0.500, 0.500, 0.500], [0.500, 0.000, 0.125], [0.500, 0.000, 0.375], [0.500, 0.500, 0.750], [0.000, 0.500, 0.125], [0.000, 0.500, 0.375], [0.000, 0.500, 0.875], [0.000, 0.000, 0.750], [0.000, 0.000, 0.250], [0.000, 0.000, 0.500], [0.000, 0.000, 0.000]]
}

---

18.
{
  "formula": "Tb3YPt8",
  "functional": "GGA-PBE",
  "state": "relaxed",
  "formation_enthalpy_0k_ev_per_atom": -1.0661,
  "cell": [[-2.433, 4.738, -1.211], [-1.151, -4.481, -2.903], [-6.602, -1.951, 5.629]],
  "species": ["Pt", "Pt", "Pt", "Pt", "Pt", "Pt", "Pt", "Pt", "Tb", "Tb", "Tb", "Y"],
  "fractional_positions": [[0.333, 0.667, 0.500], [0.502, 0.005, 0.750], [0.672, 0.836, 0.250], [0.164, 0.836, 0.250], [0.333, 0.667, 0.000], [0.164, 0.328, 0.250], [0.502, 0.498, 0.750], [0.995, 0.498, 0.750], [0.667, 0.333, 0.065], [0.000, 0.000, 0.935], [0.667, 0.333, 0.435], [0.000, 0.000, 0.565]]
}

---

19.
{
  "formula": "Tb3Y2Pt2",
  "functional": "GGA-PBE",
  "state": "relaxed",
  "formation_enthalpy_0k_ev_per_atom": -0.7829,
  "cell": [[3.661, 0.000, 0.978], [1.472, 5.979, 1.831], [-0.336, 0.251, 8.604]],
  "species": ["Tb", "Tb", "Tb", "Pt", "Pt", "Y", "Y"],
  "fractional_positions": [[0.615, 0.206, 0.565], [0.500, 0.000, 0.000], [0.385, 0.794, 0.435], [0.827, 0.108, 0.238], [0.173, 0.892, 0.762], [0.163, 0.485, 0.189], [0.837, 0.515, 0.811]]
}

---

20.
{
  "formula": "TbY2Pt9",
  "functional": "GGA-PBE",
  "state": "relaxed",
  "formation_enthalpy_0k_ev_per_atom": -1.0053,
  "de_polymorph_ev_per_fu": 0.000,
  "cell": [[-3.247, -2.443, 0.726], [1.216, -0.453, 3.918], [-6.717, 9.889, 3.230]],
  "species": ["Pt", "Pt", "Pt", "Pt", "Pt", "Pt", "Pt", "Pt", "Pt", "Y", "Y", "Tb"],
  "fractional_positions": [[0.500, 0.000, 0.833], [0.000, 0.500, 0.167], [0.500, 0.500, 0.000], [0.000, 0.500, 0.833], [0.000, 0.500, 0.500], [0.500, 0.000, 0.167], [0.500, 0.000, 0.500], [0.500, 0.500, 0.333], [0.500, 0.500, 0.667], [0.000, 0.000, 0.667], [0.000, 0.000, 0.333], [0.000, 0.000, 0.000]]
}

---

21.
{
  "formula": "Tb4YPt2",
  "functional": "GGA-PBE",
  "state": "relaxed",
  "formation_enthalpy_0k_ev_per_atom": -0.6864,
  "cell": [[6.405, 0.000, 0.000], [0.000, 7.190, -3.029], [0.000, 0.021, 8.101]],
  "species": ["Tb", "Tb", "Tb", "Tb", "Tb", "Tb", "Tb", "Tb", "Y", "Y", "Pt", "Pt", "Pt", "Pt"],
  "fractional_positions": [[0.750, 0.016, 0.386], [0.006, 0.590, 0.231], [0.494, 0.590, 0.231], [0.750, 0.751, 0.654], [0.506, 0.410, 0.769], [0.994, 0.410, 0.769], [0.250, 0.249, 0.346], [0.250, 0.984, 0.614], [0.750, 0.152, 0.026], [0.250, 0.848, 0.974], [0.750, 0.755, 0.008], [0.250, 0.245, 0.992], [0.750, 0.377, 0.413], [0.250, 0.623, 0.587]]
}